Record 1
VASP calculation (GGA-PBEsol) on a geometry-optimized ReSe2Br structure.

Values from the calculation:
SG ... Immm (71)
E above lowest polymorph ... 0.210 eV/atom
Formation energy without anion corrections ... 0.355 eV/atom

Cell and atoms, written as POSCAR:
```
ReSe2Br
1.0
-2.647 1.338 0.376
-1.190 -1.041 -4.670
-0.281 -4.959 3.780
Re Se Br
1 2 1
direct
0.500 0.000 0.000
0.181 0.181 0.361
0.819 0.819 0.639
0.000 0.500 0.000
```

=====

Record 2
VASP calculation (GGA-PBEsol) on a geometry-optimized KRu2 structure.

Values from the calculation:
Calculated formation energy ... 1.4583 eV/atom
SG ... P6/mmm (191)

Cell and atoms, written as POSCAR:
```
KRu2
1.0
2.488 0.000 0.000
0.000 4.870 0.000
0.000 -2.435 4.217
Ru K
2 1
direct
0.500 0.667 0.333
0.500 0.333 0.667
0.000 0.000 0.000
```

=====

Record 3
VASP calculation (GGA-PBEsol) on a geometry-optimized Sr3PO structure.

Values from the calculation:
SG ... Pm-3m (221)
Formation energy without anion corrections ... -1.433 eV/atom

Cell and atoms, written as POSCAR:
```
Sr3PO
1.0
-3.927 -1.784 2.358
2.920 -1.715 3.563
-0.471 4.247 2.430
Sr O P
3 1 1
direct
0.500 0.000 0.000
0.000 0.500 0.000
0.000 0.000 0.500
0.000 0.000 0.000
0.500 0.500 0.500
```

=====

Record 4
VASP calculation (GGA-PBEsol) on a geometry-optimized Sc3TlOs structure.

Values from the calculation:
Calculated formation energy ... -0.0319 eV/atom
SG ... Pm-3m (221)

Cell and atoms, written as POSCAR:
```
Sc3TlOs
1.0
4.974 0.000 0.000
0.000 4.974 0.000
0.000 0.000 4.974
Tl Os Sc
1 1 3
direct
0.500 0.500 0.500
0.000 0.000 0.000
0.000 0.500 0.000
0.500 0.000 0.000
0.000 0.000 0.500
```